A geometry-optimized Li7Co5O12 structure, computed with PBE+U.

Properties
N(E_F) = 1.399 states/eV/cell
Distance to the lowest polymorph of the same formula = 22 meV per atom

Lattice parameters (Å, degrees): 12.407 2.858 11.571 90.00 104.16 90.00
Space group C2/m (No. 12)
Inequivalent atoms, fractional coordinates:
Li (0.000, 0.000, 0.000) [2 per cell]
Li (0.002, 0.000, 0.246) [4 per cell]
Li (0.158, 0.500, 0.917) [4 per cell]
Li (0.166, 0.500, 0.418) [4 per cell]
Co (0.000, 0.000, 0.500) [2 per cell]
Co (0.164, 0.500, 0.164) [4 per cell]
Co (0.166, 0.500, 0.667) [4 per cell]
O (0.006, 0.500, 0.614) [4 per cell]
O (0.015, 0.500, 0.131) [4 per cell]
O (0.161, 0.000, 0.552) [4 per cell]
O (0.171, 0.000, 0.058) [4 per cell]
O (0.173, 0.000, 0.781) [4 per cell]
O (0.175, 0.000, 0.281) [4 per cell]